[1]
Material: ErTl3Sb2S6
Method: DFT, PBE-GGA
State: relaxed

Cell and atoms, written as CIF:
```
data_ErTl3Sb2S6
_chemical_formula_sum 'Er2 Tl6 Sb4 S12'
_space_group_name_H-M_alt 'C 1 2/m 1'
_space_group_IT_number 12
_cell_length_a 7.0012
_cell_length_b 12.1301
_cell_length_c 7.7920
_cell_angle_alpha 90.00
_cell_angle_beta 107.43
_cell_angle_gamma 90.00
loop_
_space_group_symop_operation_xyz
'x,y,z'
'-x,-y,-z'
'-x,y,-z'
'x,-y,z'
'x+1/2,y+1/2,z'
'-x+1/2,-y+1/2,-z'
'-x+1/2,y+1/2,-z'
'x+1/2,-y+1/2,z'
loop_
_atom_site_label
_atom_site_type_symbol
_atom_site_fract_x
_atom_site_fract_y
_atom_site_fract_z
_atom_site_occupancy
Er1 Er 0.0000 0.0000 0.0000 1
Tl1 Tl 0.0000 0.1667 0.5000 1
Tl2 Tl 0.0000 0.5000 0.5000 1
Sb1 Sb 0.0000 0.3335 0.0000 1
S1 S 0.2313 0.1645 0.2001 1
S2 S 0.2372 0.5000 0.1995 1
```

Values from the calculation:
ΔE_f (raw) = -8.5 eV per formula unit
Volume = 315.7 Å³/f.u.

[2]
Material: Er3Tl4SbS8
Method: DFT, PBE-GGA
State: relaxed

Cell and atoms, written as CIF:
```
data_Er3Tl4SbS8
_chemical_formula_sum 'Er9 Tl12 Sb3 S24'
_space_group_name_H-M_alt 'R -3 m'
_space_group_IT_number 166
_space_group_name_Hall '-R 3 2"'
_cell_length_a 8.0283
_cell_length_b 8.0283
_cell_length_c 22.4736
_cell_angle_alpha 90.00
_cell_angle_beta 90.00
_cell_angle_gamma 120.00
loop_
_atom_site_label
_atom_site_type_symbol
_atom_site_fract_x
_atom_site_fract_y
_atom_site_fract_z
_atom_site_occupancy
Er1 Er 0.0000 0.5000 0.0000 1
Tl1 Tl 0.0000 0.0000 0.5000 1
Tl2 Tl 0.0000 0.5000 0.5000 1
Sb1 Sb 0.0000 0.0000 0.0000 1
S1 S 0.0000 0.0000 0.2681 1
S2 S 0.0031 0.5016 0.2676 1
```

Values from the calculation:
ΔE_f (raw) = -19.2 eV per formula unit
Volume = 418.2 Å³/f.u.

[3]
Material: ErTl2SbS4
Method: DFT, PBE-GGA
State: relaxed

Cell and atoms, written as CIF:
```
data_ErTl2SbS4
_chemical_formula_sum 'Er4 Tl8 Sb4 S16'
_space_group_name_H-M_alt 'I m m a'
_space_group_IT_number 74
_space_group_name_Hall '-I 2b 2'
_cell_length_a 8.2654
_cell_length_b 8.4829
_cell_length_c 11.8532
_cell_angle_alpha 90.00
_cell_angle_beta 90.00
_cell_angle_gamma 90.00
loop_
_atom_site_label
_atom_site_type_symbol
_atom_site_fract_x
_atom_site_fract_y
_atom_site_fract_z
_atom_site_occupancy
Er1 Er 0.2500 0.2500 0.2500 1
Tl1 Tl 0.0000 0.0000 0.0000 1
Tl2 Tl 0.2500 0.2500 0.7500 1
Sb1 Sb 0.0000 0.0000 0.5000 1
S1 S 0.0000 0.0351 0.2646 1
S2 S 0.2235 0.2500 0.4825 1
```

Values from the calculation:
ΔE_f (raw) = -6.9 eV per formula unit
DOS at the Fermi energy = 0.011 states/eV per atom
Volume = 207.8 Å³/f.u.

Which value of ΔE_f (raw) does entry 1 give? -8.5 eV per formula unit